# 1
The following is a DFT calculation (PBE-GGA) of a geometry-optimized IrRuSe2 structure.

The size of the total moment comes out at 0.2621 μB/atom. The density of states at the Fermi level comes out at 3.8 states/eV/f.u. The formation energy (no corrections) comes out at 9.56 kcal/mol of atoms. As for the total energy: -93.79 eV per cell. The energy above the most stable polymorph in this dataset comes out at 0.365 eV/atom.

The space group is Fm-3m (No. 225) and the conventional cell measures 6.324, 6.324 and 6.324 Å, with angles of 90.00, 90.00 and 90.00 degrees. The distinct sites, in fractional coordinates, are Ir at (0.000, 0.000, 0.000), Ru at (0.000, 0.000, 0.500) and Se at (0.250, 0.250, 0.250).

# 2
The following is a DFT calculation (PBE-GGA) of a geometry-optimized PmFeB3Ru structure.

The size of the total moment comes out at 0.0000 μB/atom. The density of states at the Fermi level comes out at 2.8 states/eV/f.u. For the formation energy, the calculation gives -0.3206 eV per atom. As for the total energy: -177.78 eV per cell.

The space group is Cmcm (No. 63) and the conventional cell measures 5.157, 10.093 and 5.874 Å, with angles of 90.00, 90.00 and 90.00 degrees. The distinct sites, in fractional coordinates, are Pm at (0.000, 0.233, 0.250), Fe at (0.000, 0.093, 0.750), B at (0.000, 0.278, 0.750), B at (0.176, 0.000, 0.000) and Ru at (0.000, 0.471, 0.750).

# 3
The following is a DFT calculation (PBE-GGA) of a geometry-optimized LiAuBr2 structure.

The size of the total moment comes out at 0.0000 μB/atom. The density of states at the Fermi level comes out at 0.4 states/eV/f.u. The formation energy (no corrections) comes out at -14.20 kcal/mol of atoms. As for the total energy: -22.00 eV per cell. The energy above the most stable polymorph in this dataset comes out at 0.166 eV/atom.

The space group is C2/m (No. 12) and the conventional cell measures 7.675, 7.580 and 4.533 Å, with angles of 90.00, 118.67 and 90.00 degrees. The distinct sites, in fractional coordinates, are Li at (0.000, 0.000, 0.000), Au at (0.000, 0.500, 0.000) and Br at (0.250, 0.250, 0.000).

# 4
The following is a DFT calculation (PBE-GGA) of a geometry-optimized Li2VIr2 structure.

The size of the total moment comes out at 0.0000 μB/atom. The density of states at the Fermi level comes out at 1.9 states/eV/f.u. For the formation energy, the calculation gives 0.0089 eV per atom. As for the total energy: -61.25 eV per cell. The energy above the most stable polymorph in this dataset comes out at 0.000 eV/atom.

The space group is P4/mbm (No. 127) and the conventional cell measures 6.566, 6.566 and 2.852 Å, with angles of 90.00, 90.00 and 90.00 degrees. The distinct sites, in fractional coordinates, are Li at (0.105, 0.395, 0.000), V at (0.000, 0.000, 0.000) and Ir at (0.196, 0.696, 0.500).

# 5
The following is a DFT calculation (PBE-GGA) of a geometry-optimized PrNdGdAg structure.

The size of the total moment comes out at 1.9197 μB/atom. The density of states at the Fermi level comes out at 6.2 states/eV/f.u. For the formation energy, the calculation gives 0.0618 eV per atom. As for the total energy: -104.93 eV per cell.

The space group is F-43m (No. 216) and the conventional cell measures 7.796, 7.796 and 7.796 Å, with angles of 90.00, 90.00 and 90.00 degrees. The distinct sites, in fractional coordinates, are Pr at (0.000, 0.000, 0.000), Nd at (0.000, 0.000, 0.500), Gd at (0.250, 0.250, 0.250) and Ag at (0.250, 0.250, 0.750).

# 6
The following is a DFT calculation (PBE-GGA) of a geometry-optimized Sr2Sn2Pb3 structure.

The size of the total moment comes out at 0.0000 μB/atom. The density of states at the Fermi level comes out at 5.0 states/eV/f.u. For the formation energy, the calculation gives -0.3373 eV per atom. As for the total energy: -49.71 eV per cell.

The space group is Cmmm (No. 65) and the conventional cell measures 4.424, 22.856 and 4.684 Å, with angles of 90.00, 90.00 and 90.00 degrees. The distinct sites, in fractional coordinates, are Sr at (0.000, 0.161, 0.000), Sn at (0.000, 0.290, 0.500), Pb at (0.000, 0.000, 0.000) and Pb at (0.000, 0.430, 0.500).

# 7
The following is a DFT calculation (PBE-GGA) of a geometry-optimized Eu2Si5Pt3 structure.

The size of the total moment comes out at 1.3574 μB/atom. The density of states at the Fermi level comes out at 17.9 states/eV/f.u. The formation energy (no corrections) comes out at -20.71 kcal/mol of atoms. As for the total energy: -299.07 eV per cell.

The space group is Ibam (No. 72) and the conventional cell measures 10.081, 11.697 and 6.044 Å, with angles of 90.00, 90.00 and 90.00 degrees. The distinct sites, in fractional coordinates, are Eu at (0.232, 0.129, 0.000), Si at (0.000, 0.000, 0.250), Si at (0.000, 0.271, 0.250), Si at (0.150, 0.388, 0.000), Pt at (0.000, 0.500, 0.250) and Pt at (0.112, 0.136, 0.500).

# 8
The following is a DFT calculation (PBE-GGA) of a geometry-optimized PmNpIr2 structure.

The size of the total moment comes out at 0.7842 μB/atom. The density of states at the Fermi level comes out at 6.4 states/eV/f.u. For the formation energy, the calculation gives -0.4169 eV per atom. As for the total energy: -37.08 eV per cell. The energy above the most stable polymorph in this dataset comes out at 0.027 eV/atom.

The space group is P4/mmm (No. 123) and the conventional cell measures 3.436, 3.436 and 7.112 Å, with angles of 90.00, 90.00 and 90.00 degrees. The distinct sites, in fractional coordinates, are Pm at (0.000, 0.000, 0.000), Np at (0.000, 0.000, 0.500) and Ir at (0.500, 0.500, 0.279).

# 9
The following is a DFT calculation (PBE-GGA) of a geometry-optimized UB4 structure.

The size of the total moment comes out at 0.0810 μB/atom. The density of states at the Fermi level comes out at 8.1 states/eV/f.u. For the formation energy, the calculation gives 2.9398 eV per atom. As for the total energy: -23.30 eV per cell. The energy above the most stable polymorph in this dataset comes out at 3.449 eV/atom.

The space group is Pm-3m (No. 221) and the conventional cell measures 4.486, 4.486 and 4.486 Å, with angles of 90.00, 90.00 and 90.00 degrees. The distinct sites, in fractional coordinates, are U at (0.000, 0.000, 0.000), B at (0.000, 0.000, 0.500) and B at (0.500, 0.500, 0.500).

# 10
The following is a DFT calculation (PBE-GGA) of a geometry-optimized BeGaP2O structure.

The size of the total moment comes out at 0.0000 μB/atom. The density of states at the Fermi level comes out at 2.6 states/eV/f.u. The formation energy (no corrections) comes out at -3.06 kcal/mol of atoms. As for the total energy: -23.19 eV per cell. The energy above the most stable polymorph in this dataset comes out at 0.000 eV/atom.

The space group is P4/mmm (No. 123) and the conventional cell measures 4.945, 4.945 and 2.916 Å, with angles of 90.00, 90.00 and 90.00 degrees. The distinct sites, in fractional coordinates, are Be at (0.000, 0.000, 0.000), Ga at (0.500, 0.500, 0.500), P at (0.000, 0.500, 0.000) and O at (0.000, 0.000, 0.500).

# 11
The following is a DFT calculation (PBE-GGA) of a geometry-optimized ThMg2InHg4 structure.

The size of the total moment comes out at 0.0000 μB/atom. The density of states at the Fermi level comes out at 3.7 states/eV/f.u. For the formation energy, the calculation gives -0.1863 eV per atom. As for the total energy: -48.13 eV per cell.

The space group is R-3m (No. 166, hexagonal axes) and the conventional cell measures 4.9206, 4.9206 and 27.9187 Å, with angles of 90.00, 90.00 and 120.00 degrees. The distinct sites, in fractional coordinates, are Th at (0.0000, 0.0000, 0.0000), Mg at (0.0000, 0.0000, 0.2474), In at (0.0000, 0.0000, 0.5000), Hg at (0.0000, 0.0000, 0.1209) and Hg at (0.0000, 0.0000, 0.3859).

# 12
The following is a DFT calculation (PBE-GGA) of a geometry-optimized Li2PmNd2Tl2 structure.

The size of the total moment comes out at 0.0002 μB/atom. The density of states at the Fermi level comes out at 6.1 states/eV/f.u. For the formation energy, the calculation gives -0.2036 eV per atom. As for the total energy: -72.81 eV per cell.

The space group is R-3m (No. 166, hexagonal axes) and the conventional cell measures 4.9276, 4.9276 and 27.2879 Å, with angles of 90.00, 90.00 and 120.00 degrees. The distinct sites, in fractional coordinates, are Li at (0.0000, 0.0000, 0.1056), Pm at (0.0000, 0.0000, 0.5000), Nd at (0.0000, 0.0000, 0.3731) and Tl at (0.0000, 0.0000, 0.2358).